No. 1
LaThCdC: optimized geometry, PBE.

CIF file:
```
data_LaThCdC
_symmetry_space_group_name_H-M 'R 3 m'
_symmetry_Int_Tables_number 160
_symmetry_space_group_name_Hall 'R 3 -2"'
_cell_length_a 3.7060
_cell_length_b 3.7060
_cell_length_c 25.8735
_cell_angle_alpha 90.00
_cell_angle_beta 90.00
_cell_angle_gamma 120.00
loop_
_atom_site_label
_atom_site_fract_x
_atom_site_fract_y
_atom_site_fract_z
_atom_site_occupancy
La1 0.0000 0.0000 0.0000 1
Th1 0.0000 0.0000 0.7795 1
Cd1 0.0000 0.0000 0.2226 1
C1 0.0000 0.0000 0.3947 1
```

Output
M_tot in μB per formula unit: 0.00
Final energy in eV per atom: -5.83

---

No. 2
Ac14Au6N3: optimized geometry, PBE.

CIF file:
```
data_Ac14Au6N3
_symmetry_space_group_name_H-M 'P 3'
_symmetry_Int_Tables_number 143
_symmetry_space_group_name_Hall 'P 3'
_cell_length_a 11.1487
_cell_length_b 11.1487
_cell_length_c 6.9947
_cell_angle_alpha 90.00
_cell_angle_beta 90.00
_cell_angle_gamma 120.00
loop_
_atom_site_label
_atom_site_fract_x
_atom_site_fract_y
_atom_site_fract_z
_atom_site_occupancy
Ac1 0.0000 0.0000 0.0000 1
Ac2 0.1067 0.5531 0.3526 1
Ac3 0.2196 0.4392 0.8190 1
Ac4 0.2379 0.1186 0.5290 1
Ac5 0.4287 0.2145 0.0345 1
Ac6 0.6667 0.3333 0.5106 1
Au1 0.1434 0.8552 0.2399 1
Au2 0.5254 0.0510 0.7467 1
N1 0.0000 0.0000 0.6415 1
N2 0.3333 0.6667 0.5621 1
N3 0.6667 0.3333 0.1496 1
```

Output
Energy relative to the elements, uncorrected in eV/atom: -0.6991
M_tot in μB per formula unit: 0.00
Final energy in eV per atom: -5.14

---

No. 3
Ac8Ge3HI4: optimized geometry, PBE.

CIF file:
```
data_Ac8Ge3HI4
_symmetry_space_group_name_H-M 'R -3 m'
_symmetry_Int_Tables_number 166
_symmetry_space_group_name_Hall '-R 3 2"'
_cell_length_a 9.0272
_cell_length_b 9.0272
_cell_length_c 24.4891
_cell_angle_alpha 90.00
_cell_angle_beta 90.00
_cell_angle_gamma 120.00
loop_
_atom_site_label
_atom_site_fract_x
_atom_site_fract_y
_atom_site_fract_z
_atom_site_occupancy
Ac1 0.0000 0.0000 0.2350 1
Ac2 0.0085 0.5042 0.2331 1
Ge1 0.0000 0.5000 0.5000 1
H1 0.0000 0.0000 0.5000 1
I1 0.0000 0.0000 0.0000 1
I2 0.0000 0.5000 0.0000 1
```

Output
M_tot in μB per formula unit: 0.14
Final energy in eV per atom: -4.37

---

No. 4
Er2ZnSb: optimized geometry, PBE.

CIF file:
```
data_Er2ZnSb
_symmetry_space_group_name_H-M 'P 4/m m m'
_symmetry_Int_Tables_number 123
_symmetry_space_group_name_Hall '-P 4 2'
_cell_length_a 3.820
_cell_length_b 3.820
_cell_length_c 6.659
_cell_angle_alpha 90.00
_cell_angle_beta 90.00
_cell_angle_gamma 90.00
loop_
_atom_site_label
_atom_site_fract_x
_atom_site_fract_y
_atom_site_fract_z
_atom_site_occupancy
Er1 0.000 0.000 0.247 1
Zn1 0.500 0.500 0.000 1
Sb1 0.500 0.500 0.500 1
```

Output
Energy relative to the elements, uncorrected in eV/atom: -0.5694
M_tot in μB per formula unit: 0.00
Final energy in eV per atom: -4.20

---

- Which of these has the lowest final energy?
  LaThCdC